# Sr2TaRh (GGA-PBE, relaxed)
# Energy above the most stable polymorph in this dataset ... 635 meV/atom
# M_tot ... 0.0 Bohr magnetons per cell
# Space group ... R-3m (166)
# E_tot ... -4.9029 eV per atom
data_Sr2TaRh
_chemical_formula_sum 'Sr2 Ta1 Rh1'
_symmetry_space_group_name_H-M 'P 1'
_symmetry_Int_Tables_number 1
_cell_length_a 10.473
_cell_length_b 10.473
_cell_length_c 10.473
_cell_angle_alpha 18.43
_cell_angle_beta 18.43
_cell_angle_gamma 18.43
loop_
_symmetry_equiv_pos_as_xyz
'x,y,z'
loop_
_atom_site_label
_atom_site_fract_x
_atom_site_fract_y
_atom_site_fract_z
_atom_site_occupancy
Rh1 0.750 0.750 0.750 1
Sr1 0.010 0.010 0.010 1
Sr2 0.490 0.490 0.490 1
Ta1 0.250 0.250 0.250 1